1.
Fe2SiCl | PBE | relaxed

Cell: 5.8061 5.8061 5.8061 Å, 146.54 146.54 48.05°
Closest atoms and distances in Å follow each position.
Element x y z (fractional)
Cl 0.7500 0.2500 0.5000  4 Fe 2.36
Fe 0.0000 0.0000 0.0000  4 Si 2.36
Fe 0.2500 0.7500 0.5000  4 Cl 2.36
Si 0.5000 0.5000 0.0000  4 Fe 2.36

Its uncorrected formation energy is 463 meV per atom. The value obtained for the relative energy among the computed polymorphs is 545 meV per atom.

---

2.
Pm5Er3Tm12 | PBE | relaxed

Cell: 16.1405 16.1405 16.1405 Å, 109.47 109.47 109.47°
Closest atoms and distances in Å follow each position.
Element x y z (fractional)
Er 0.7500 0.3750 0.1250  8 Tm 3.18-3.42
Er 0.8750 0.7500 0.1250  8 Tm 3.18-3.42
Er 0.3750 0.7500 0.6250  8 Tm 3.18-3.42
Er 0.2500 0.1250 0.3750  8 Tm 3.18-3.42
Er 0.8750 0.1250 0.2500  8 Tm 3.18-3.42
Er 0.3750 0.6250 0.2500  8 Tm 3.18-3.42
Er 0.6250 0.3750 0.7500  8 Tm 3.18-3.42
Er 0.1250 0.8750 0.7500  8 Tm 3.18-3.42
Er 0.7500 0.8750 0.6250  8 Tm 3.18-3.42
Er 0.6250 0.2500 0.3750  8 Tm 3.18-3.42
Er 0.1250 0.2500 0.8750  8 Tm 3.18-3.42
Er 0.2500 0.6250 0.8750  8 Tm 3.18-3.42
Pm 0.1250 0.3750 0.2500  4 Tm 3.32
Pm 0.0000 0.5000 0.0000  6 Tm 3.14
Pm 0.0000 0.0000 0.0000  6 Tm 3.14
Pm 0.3750 0.2500 0.1250  4 Tm 3.32
Pm 0.5000 0.0000 0.5000  6 Tm 3.14
Pm 0.5000 0.5000 0.0000  6 Tm 3.14
Pm 0.1250 0.7500 0.3750  4 Tm 3.32
Pm 0.7500 0.1250 0.8750  4 Tm 3.32
Pm 0.7500 0.6250 0.3750  4 Tm 3.32
Pm 0.3750 0.1250 0.7500  4 Tm 3.32
Pm 0.6250 0.8750 0.2500  4 Tm 3.32
Pm 0.5000 0.5000 0.5000  6 Tm 3.14
Pm 0.5000 0.0000 0.0000  6 Tm 3.14
Pm 0.0000 0.0000 0.5000  6 Tm 3.14
Pm 0.2500 0.3750 0.6250  4 Tm 3.32
Pm 0.2500 0.8750 0.1250  4 Tm 3.32
Pm 0.0000 0.5000 0.5000  6 Tm 3.14
Pm 0.8750 0.2500 0.6250  4 Tm 3.32
Pm 0.6250 0.7500 0.8750  4 Tm 3.32
Pm 0.8750 0.6250 0.7500  4 Tm 3.32
Tm 0.7284 0.1439 0.0772  2 Pm 3.14-3.32, 2 Er 3.18-3.42, 3 Tm 3.25-3.46
Tm 0.3488 0.5772 0.4333  2 Pm 3.14-3.32, 2 Er 3.18-3.42, 3 Tm 3.25-3.46
Tm 0.9228 0.3561 0.2716  2 Pm 3.14-3.32, 2 Er 3.18-3.42, 3 Tm 3.25-3.46
Tm 0.5772 0.2284 0.1439  2 Pm 3.14-3.32, 2 Er 3.18-3.42, 3 Tm 3.25-3.46
Tm 0.5846 0.7284 0.6512  2 Pm 3.14-3.32, 2 Er 3.18-3.42, 3 Tm 3.25-3.46
Tm 0.9228 0.5667 0.1512  2 Pm 3.14-3.32, 2 Er 3.18-3.42, 3 Tm 3.25-3.46
Tm 0.3488 0.7716 0.4154  2 Pm 3.14-3.32, 2 Er 3.18-3.42, 3 Tm 3.25-3.46
Tm 0.0667 0.9154 0.1439  2 Pm 3.14-3.32, 2 Er 3.18-3.42, 3 Tm 3.25-3.46
Tm 0.5667 0.9228 0.6512  2 Pm 3.14-3.32, 2 Er 3.18-3.42, 3 Tm 3.25-3.46
Tm 0.7284 0.5846 0.1512  2 Pm 3.14-3.32, 2 Er 3.18-3.42, 3 Tm 3.25-3.46
Tm 0.7716 0.4228 0.3561  2 Pm 3.14-3.32, 2 Er 3.18-3.42, 3 Tm 3.25-3.46
Tm 0.8488 0.9333 0.0772  2 Pm 3.14-3.32, 2 Er 3.18-3.42, 3 Tm 3.25-3.46
Tm 0.1439 0.7284 0.5772  2 Pm 3.14-3.32, 2 Er 3.18-3.42, 3 Tm 3.25-3.46
Tm 0.3561 0.4333 0.0846  2 Pm 3.14-3.32, 2 Er 3.18-3.42, 3 Tm 3.25-3.46
Tm 0.0846 0.9333 0.3561  2 Pm 3.14-3.32, 2 Er 3.18-3.42, 3 Tm 3.25-3.46
Tm 0.4154 0.1439 0.5667  2 Pm 3.14-3.32, 2 Er 3.18-3.42, 3 Tm 3.25-3.46
Tm 0.0846 0.1512 0.2284  2 Pm 3.14-3.32, 2 Er 3.18-3.42, 3 Tm 3.25-3.46
Tm 0.4228 0.6512 0.0667  2 Pm 3.14-3.32, 2 Er 3.18-3.42, 3 Tm 3.25-3.46
Tm 0.8488 0.9154 0.2716  2 Pm 3.14-3.32, 2 Er 3.18-3.42, 3 Tm 3.25-3.46
Tm 0.1439 0.4154 0.0667  2 Pm 3.14-3.32, 2 Er 3.18-3.42, 3 Tm 3.25-3.46
Tm 0.3561 0.9228 0.7716  2 Pm 3.14-3.32, 2 Er 3.18-3.42, 3 Tm 3.25-3.46
Tm 0.5667 0.6439 0.4154  2 Pm 3.14-3.32, 2 Er 3.18-3.42, 3 Tm 3.25-3.46
Tm 0.9333 0.8488 0.5772  2 Pm 3.14-3.32, 2 Er 3.18-3.42, 3 Tm 3.25-3.46
Tm 0.7716 0.3488 0.9154  2 Pm 3.14-3.32, 2 Er 3.18-3.42, 3 Tm 3.25-3.46
Tm 0.4333 0.3561 0.5846  2 Pm 3.14-3.32, 2 Er 3.18-3.42, 3 Tm 3.25-3.46
Tm 0.0667 0.1512 0.4228  2 Pm 3.14-3.32, 2 Er 3.18-3.42, 3 Tm 3.25-3.46
Tm 0.2284 0.6512 0.0846  2 Pm 3.14-3.32, 2 Er 3.18-3.42, 3 Tm 3.25-3.46
Tm 0.1512 0.0846 0.7284  2 Pm 3.14-3.32, 2 Er 3.18-3.42, 3 Tm 3.25-3.46
Tm 0.6439 0.0772 0.2284  2 Pm 3.14-3.32, 2 Er 3.18-3.42, 3 Tm 3.25-3.46
Tm 0.8561 0.5846 0.9333  2 Pm 3.14-3.32, 2 Er 3.18-3.42, 3 Tm 3.25-3.46
Tm 0.5772 0.3488 0.9333  2 Pm 3.14-3.32, 2 Er 3.18-3.42, 3 Tm 3.25-3.46
Tm 0.5846 0.8561 0.4333  2 Pm 3.14-3.32, 2 Er 3.18-3.42, 3 Tm 3.25-3.46
Tm 0.9154 0.8488 0.7716  2 Pm 3.14-3.32, 2 Er 3.18-3.42, 3 Tm 3.25-3.46
Tm 0.9154 0.0667 0.6439  2 Pm 3.14-3.32, 2 Er 3.18-3.42, 3 Tm 3.25-3.46
Tm 0.8561 0.2716 0.4228  2 Pm 3.14-3.32, 2 Er 3.18-3.42, 3 Tm 3.25-3.46
Tm 0.1512 0.0667 0.9228  2 Pm 3.14-3.32, 2 Er 3.18-3.42, 3 Tm 3.25-3.46
Tm 0.6439 0.5667 0.9154  2 Pm 3.14-3.32, 2 Er 3.18-3.42, 3 Tm 3.25-3.46
Tm 0.4333 0.0772 0.3488  2 Pm 3.14-3.32, 2 Er 3.18-3.42, 3 Tm 3.25-3.46
Tm 0.2716 0.4154 0.8488  2 Pm 3.14-3.32, 2 Er 3.18-3.42, 3 Tm 3.25-3.46
Tm 0.2284 0.5772 0.6439  2 Pm 3.14-3.32, 2 Er 3.18-3.42, 3 Tm 3.25-3.46
Tm 0.9333 0.0846 0.8561  2 Pm 3.14-3.32, 2 Er 3.18-3.42, 3 Tm 3.25-3.46
Tm 0.6512 0.2284 0.5846  2 Pm 3.14-3.32, 2 Er 3.18-3.42, 3 Tm 3.25-3.46
Tm 0.4228 0.7716 0.8561  2 Pm 3.14-3.32, 2 Er 3.18-3.42, 3 Tm 3.25-3.46
Tm 0.0772 0.4333 0.8488  2 Pm 3.14-3.32, 2 Er 3.18-3.42, 3 Tm 3.25-3.46
Tm 0.4154 0.2716 0.3488  2 Pm 3.14-3.32, 2 Er 3.18-3.42, 3 Tm 3.25-3.46
Tm 0.0772 0.6439 0.7284  2 Pm 3.14-3.32, 2 Er 3.18-3.42, 3 Tm 3.25-3.46
Tm 0.6512 0.4228 0.5667  2 Pm 3.14-3.32, 2 Er 3.18-3.42, 3 Tm 3.25-3.46
Tm 0.2716 0.8561 0.9228  2 Pm 3.14-3.32, 2 Er 3.18-3.42, 3 Tm 3.25-3.46

The calculation puts the formation energy from the elements at 1.0433 eV/atom.

---

3.
Ti2Nb2W3 | PBE | relaxed

Cell: 3.2037 5.3092 7.3045 Å, 97.88 89.97 107.48°
Closest atoms and distances in Å follow each position.
Element x y z (fractional)
Ti 0.4287 0.8575 0.2787  4 W 2.77-2.82, 4 Nb 2.80-2.89
Ti 0.5713 0.1425 0.7213  4 W 2.77-2.82, 4 Nb 2.80-2.89
Nb 0.1463 0.2921 0.4236  2 Nb 2.75, 4 Ti 2.80-2.89, 2 W 2.81
Nb 0.8537 0.7079 0.5764  2 Nb 2.75, 4 Ti 2.80-2.89, 2 W 2.81
W 0.0000 0.0000 0.0000  4 W 2.73, 4 Ti 2.77
W 0.2898 0.5795 0.8667  4 W 2.73, 2 Nb 2.81, 2 Ti 2.81-2.82
W 0.7102 0.4205 0.1333  4 W 2.73, 2 Nb 2.81, 2 Ti 2.81-2.82

The calculation puts the formation energy from the elements at -0.0189 eV/atom. The value obtained for the relative energy among the computed polymorphs is 0 meV per atom.

---

4.
Ti5AlV2 | PBE | relaxed

Cell: 6.8644 6.8644 7.3168 Å, 117.98 117.98 90.00°
Closest atoms and distances in Å follow each position.
Element x y z (fractional)
Ti 0.4927 0.6945 0.6872  3 V 2.57-2.69, 2 Al 2.81, 1 Ti 2.84
Ti 0.8055 0.0073 0.3128  3 V 2.57-2.69, 2 Al 2.81, 1 Ti 2.84
Ti 0.0000 0.0000 0.0000  4 V 2.60, 2 Al 2.74
Ti 0.5000 0.5000 0.0000  4 V 2.60, 2 Al 2.74
Ti 0.1945 0.9927 0.6872  3 V 2.57-2.69, 2 Al 2.81, 1 Ti 2.84
Ti 0.6945 0.1945 0.6872  3 V 2.57-2.69, 2 Al 2.81, 1 Ti 2.84
Ti 0.9927 0.4927 0.6872  3 V 2.57-2.69, 2 Al 2.81, 1 Ti 2.84
Ti 0.3055 0.8055 0.3128  3 V 2.57-2.69, 2 Al 2.81, 1 Ti 2.84
Ti 0.0073 0.5073 0.3128  3 V 2.57-2.69, 2 Al 2.81, 1 Ti 2.84
Ti 0.5073 0.3055 0.3128  3 V 2.57-2.69, 2 Al 2.81, 1 Ti 2.84
Al 0.7500 0.7500 0.5000  10 Ti 2.74-2.81
Al 0.2500 0.2500 0.5000  10 Ti 2.74-2.81
V 0.1533 0.3467 0.0000  8 Ti 2.57-2.69
V 0.6533 0.1533 0.0000  8 Ti 2.57-2.69
V 0.3467 0.8467 0.0000  8 Ti 2.57-2.69
V 0.8467 0.6533 0.0000  8 Ti 2.57-2.69

The calculation puts the formation energy from the elements at -0.0070 eV/atom.

---

| no. | total DFT energy (no corrections) (eV per atom) | size of the total moment (μB/f.u.) |
| --- | --- | --- |
| 1 | -5.59 | 4.840 |
| 2 | -3.51 | 0.002 |
| 3 | -10.70 | 0.000 |
| 4 | -7.69 | 0.735 |